# 1
A plane-wave DFT calculation with GGA-PBE was carried out for a relaxed structure of TlC2Se.

Unit cell a=5.074 b=5.074 c=10.339 alpha=90.00 beta=90.00 gamma=90.00
Space group I-42d (No. 122)
Symmetry-distinct sites (fractional):
Tl  0.000  0.000  0.000 x4
C  0.201  0.250  0.625 x8
Se  0.000  0.000  0.500 x4

Output
Volume   16.6 Å³ per atom
Energy above the most stable polymorph in this dataset   0.0 meV per atom
Theoretical density   7.67 g cm⁻³
Energy relative to the elements, uncorrected   1.791 eV/atom
DOS at the Fermi energy   1.28 states/eV/f.u.

***

# 2
A plane-wave DFT calculation with GGA-PBE was carried out for a relaxed structure of Zn2SiTe.

Unit cell a=5.738 b=7.493 c=4.348 alpha=90.00 beta=116.07 gamma=90.00
Space group C2/m (No. 12)
Symmetry-distinct sites (fractional):
Zn  0.250  0.250  0.000 x4
Si  0.000  0.000  0.500 x2
Te  0.000  0.500  0.500 x2

Output
Volume   21.0 Å³ per atom
Energy above the most stable polymorph in this dataset   218.3 meV per atom
Theoretical density   5.67 g cm⁻³
Energy relative to the elements, uncorrected   0.286 eV/atom
DOS at the Fermi energy   1.66 states/eV/f.u.

***

# 3
A plane-wave DFT calculation with GGA-PBE was carried out for a relaxed structure of ScHgCl.

Unit cell a=3.609 b=5.699 c=15.243 alpha=90.00 beta=90.00 gamma=90.00
Space group Fmm2 (No. 42)
Symmetry-distinct sites (fractional):
Sc  0.000  0.000  0.000 x4
Hg  0.000  0.000  0.650 x4
Cl  0.000  0.000  0.384 x4

Output
Volume   26.1 Å³ per atom
Energy above the most stable polymorph in this dataset   150.8 meV per atom
Theoretical density   5.95 g cm⁻³
Energy relative to the elements, uncorrected   -0.766 eV/atom
DOS at the Fermi energy   2.24 states/eV/f.u.

***

# 4
A plane-wave DFT calculation with GGA-PBE was carried out for a relaxed structure of Sc6TeAs3Se2.

Unit cell a=17.189 b=3.915 c=7.899 alpha=90.00 beta=103.97 gamma=90.00
Space group C2/m (No. 12)
Symmetry-distinct sites (fractional):
Sc  0.002  0.000  0.227 x4
Sc  0.164  0.500  0.091 x4
Sc  0.176  0.500  0.578 x4
Te  0.000  0.500  0.500 x2
As  0.000  0.500  0.000 x2
As  0.164  0.000  0.332 x4
Se  0.168  0.000  0.834 x4

Output
Volume   21.5 Å³ per atom
Theoretical density   5.02 g cm⁻³
Energy relative to the elements, uncorrected   -1.454 eV/atom
DOS at the Fermi energy   5.57 states/eV/f.u.

***

# 5
A plane-wave DFT calculation with GGA-PBE was carried out for a relaxed structure of RbSrHfW2.

Unit cell a=4.926 b=4.926 c=5.179 alpha=90.00 beta=90.00 gamma=90.00
Space group P4/mmm (No. 123)
Symmetry-distinct sites (fractional):
Rb  0.000  0.000  0.000 x1
Sr  0.000  0.000  0.500 x1
Hf  0.500  0.500  0.500 x1
W  0.000  0.500  0.000 x2

Output
Volume   25.1 Å³ per atom
Theoretical density   9.50 g cm⁻³
DOS at the Fermi energy   6.32 states/eV/f.u.
Total DFT energy (no corrections)   -4.70 eV/atom

***

# 6
A plane-wave DFT calculation with GGA-PBE was carried out for a relaxed structure of VGeSe.

Unit cell a=18.879 b=3.568 c=7.273 alpha=90.00 beta=91.15 gamma=90.00
Space group C2/m (No. 12)
Symmetry-distinct sites (fractional):
V  0.142  0.000  0.060 x4
V  0.152  0.000  0.643 x4
Ge  0.240  0.500  0.125 x4
Ge  0.243  0.000  0.375 x4
Se  0.086  0.000  0.356 x4
Se  0.089  0.500  0.840 x4

Output
Volume   20.4 Å³ per atom
Theoretical density   5.49 g cm⁻³
Energy relative to the elements, uncorrected   -0.229 eV/atom
DOS at the Fermi energy   1.34 states/eV/f.u.